Entry 1:
The following is a GGA-PBE calculation of a relaxed structure of AgSbF, from the Alexandria database.

a = 5.051 Å, b = 5.069 Å, c = 5.303 Å
α = 74.86°, β = 86.91°, γ = 89.15°
Space group P1 (No. 1)
Inequivalent atoms, fractional coordinates:
Ag 0.000 0.000 0.000 [1 per cell]
Ag 0.498 0.324 0.841 [1 per cell]
Sb 0.307 0.513 0.309 [1 per cell]
Sb 0.987 0.586 0.757 [1 per cell]
F 0.010 0.204 0.367 [1 per cell]
F 0.524 0.894 0.220 [1 per cell]

***

Entry 2:
The following is a GGA-PBE calculation of a relaxed structure of Ag3Sb4F24, from the Alexandria database.

a = 12.658 Å, b = 12.658 Å, c = 12.658 Å
α = 90.00°, β = 90.00°, γ = 90.00°
Space group I-43d (No. 220)
Inequivalent atoms, fractional coordinates:
Ag 0.000 0.250 0.875 [12 per cell]
Sb 0.060 0.440 0.560 [16 per cell]
F 0.012 0.370 0.685 [48 per cell]
F 0.013 0.068 0.899 [48 per cell]

***

Entry 3:
The following is a GGA-PBE calculation of a relaxed structure of AgSbF2, from the Alexandria database.

a = 3.1236 Å, b = 3.1236 Å, c = 25.0408 Å
α = 90.00°, β = 90.00°, γ = 120.00°
Space group R-3m (No. 166, hexagonal axes)
Inequivalent atoms, fractional coordinates:
Ag 0.0000 0.0000 0.0000 [3 per cell]
Sb 0.0000 0.0000 0.5000 [3 per cell]
F 0.0000 0.0000 0.0935 [6 per cell]

Summary:
excess energy over the best structure of this formula in the dataset: 0.147 eV/atom

***

Entry 4:
The following is a GGA-PBE calculation of a relaxed structure of Ag2SbF, from the Alexandria database.

a = 6.657 Å, b = 6.657 Å, c = 6.657 Å
α = 90.00°, β = 90.00°, γ = 90.00°
Space group Fm-3m (No. 225)
Inequivalent atoms, fractional coordinates:
Ag 0.250 0.250 0.250 [8 per cell]
Sb 0.000 0.000 0.000 [4 per cell]
F 0.000 0.000 0.500 [4 per cell]

Summary:
excess energy over the best structure of this formula in the dataset: 0.105 eV/atom

***

Number 1: uncorrected energy -3.700 eV/atom, ρ 6.31 g cm⁻³. Number 2: uncorrected energy -4.323 eV/atom, ρ 4.15 g cm⁻³. Number 3: uncorrected energy -3.668 eV/atom, ρ 6.30 g cm⁻³. Number 4: uncorrected energy -3.213 eV/atom, ρ 8.03 g cm⁻³.